Here is a relaxed LiIrOsSe2 crystal from Alexandria via LeMat-Bulk. Energies are from GGA-PBE.

Properties
Formation energy from raw total energies (meV per atom): 1081

abc: 4.6967 4.6967 4.4481
angles: 90.00 90.00 90.00
Atoms (fractional coordinates):
Li: 0.0000 0.0000 0.0000
Ir: 0.5000 0.5000 0.0000
Os: 0.0000 0.0000 0.5000
Se: 0.0000 0.5000 0.5000
Se: 0.5000 0.0000 0.5000